1.
A plane-wave DFT calculation with GGA-PBE was carried out for crystalline K2CdSnAu at its relaxed geometry.

Unit cell a=6.4690 b=6.4690 c=5.1072 alpha=90.00 beta=90.00 gamma=90.00
Space group P4/mmm (No. 123)
One atom of each set of equivalent atoms:
K 0.0000 0.5000 0.0000
Cd 0.0000 0.0000 0.5000
Sn 0.5000 0.5000 0.5000
Au 0.5000 0.5000 0.0000

Properties
Energy relative to the elements: -0.056 eV per atom
Raw total energy: -2.134 eV per atom

2.
A plane-wave DFT calculation with GGA-PBE was carried out for crystalline TcNi3I at its relaxed geometry.

Unit cell a=4.5702 b=4.5702 c=4.5702 alpha=90.00 beta=90.00 gamma=90.00
Space group Pm-3m (No. 221)
One atom of each set of equivalent atoms:
Tc 0.0000 0.0000 0.0000
Ni 0.0000 0.0000 0.5000
I 0.5000 0.5000 0.5000

Properties
Raw total energy: -4.547 eV per atom
E_form (uncorrected): 1.30 eV/atom

3.
A plane-wave DFT calculation with GGA-PBE was carried out for crystalline Y2AlCo3Ge4 at its relaxed geometry.

Unit cell a=4.0364 b=4.0364 c=10.1398 alpha=90.00 beta=90.00 gamma=90.00
Space group P-4m2 (No. 115)
One atom of each set of equivalent atoms:
Y 0.0000 0.5000 0.2363
Al 0.0000 0.0000 0.5000
Co 0.0000 0.5000 0.8791
Co 0.5000 0.5000 0.5000
Ge 0.0000 0.0000 0.0000
Ge 0.0000 0.5000 0.6509
Ge 0.5000 0.5000 0.0000

Properties
Energy relative to the elements: -0.561 eV per atom
Raw total energy: -6.207 eV per atom

4.
A plane-wave DFT calculation with GGA-PBE was carried out for crystalline TlAg2Au at its relaxed geometry.

Unit cell a=3.0995 b=3.0995 c=8.6317 alpha=90.00 beta=90.00 gamma=90.00
Space group P4mm (No. 99)
One atom of each set of equivalent atoms:
Tl 0.0000 0.0000 0.0000
Ag 0.0000 0.0000 0.5053
Ag 0.5000 0.5000 0.2849
Au 0.5000 0.5000 0.7271

Properties
Energy relative to the elements: 0.093 eV per atom
Raw total energy: -2.743 eV per atom

5.
A plane-wave DFT calculation with GGA-PBE was carried out for crystalline SrZnP2O8 at its relaxed geometry.

Unit cell a=5.2660 b=5.2660 c=7.0903 alpha=90.00 beta=90.00 gamma=120.00
Space group P-3m1 (No. 164)
One atom of each set of equivalent atoms:
Sr 0.0000 0.0000 0.0000
Zn 0.0000 0.0000 0.5000
P 0.3333 0.6667 0.7547
O 0.1718 0.3436 0.6916
O 0.3333 0.6667 0.9742

Properties
Raw total energy: -6.455 eV per atom
E_form (uncorrected): -2.00 eV/atom

6.
A plane-wave DFT calculation with GGA-PBE was carried out for crystalline Ca3Ni2Pb4 at its relaxed geometry.

Unit cell a=11.8874 b=4.4341 c=8.8883 alpha=90.00 beta=95.85 gamma=90.00
Space group C2/m (No. 12)
One atom of each set of equivalent atoms:
Ca 0.0000 0.0000 0.0000
Ca 0.1174 0.5000 0.6955
Ni 0.2265 0.5000 0.4202
Pb 0.0970 0.0000 0.3707
Pb 0.1975 0.5000 0.1105

Properties
Energy relative to the elements: -0.320 eV per atom
Raw total energy: -3.920 eV per atom

7.
A plane-wave DFT calculation with GGA-PBE was carried out for crystalline Mg2TiAl2 at its relaxed geometry.

Unit cell a=7.6997 b=7.6997 c=3.1871 alpha=90.00 beta=90.00 gamma=90.00
Space group P4/mbm (No. 127)
One atom of each set of equivalent atoms:
Mg 0.1734 0.3266 0.0000
Ti 0.0000 0.0000 0.5000
Al 0.1265 0.6265 0.5000

Properties
Energy relative to the elements: 0.113 eV per atom
Raw total energy: -3.601 eV per atom

8.
A plane-wave DFT calculation with GGA-PBE was carried out for crystalline CsCaTlSiSe at its relaxed geometry.

Unit cell a=7.8999 b=4.5691 c=10.2850 alpha=90.00 beta=104.81 gamma=90.00
Space group Cm (No. 8)
One atom of each set of equivalent atoms:
Cs 0.0000 0.0000 0.0000
Ca 0.1288 0.0000 0.3879
Tl 0.0574 0.5000 0.6690
Si 0.2347 0.0000 0.7016
Se 0.2553 0.5000 0.2676

Properties
Raw total energy: -3.458 eV per atom
E_form (uncorrected): -0.63 eV/atom

9.
A plane-wave DFT calculation with GGA-PBE was carried out for crystalline SmTm2Hg6 at its relaxed geometry.

Unit cell a=14.3793 b=11.6766 c=5.4284 alpha=90.00 beta=100.01 gamma=90.00
Space group C2/c (No. 15)
One atom of each set of equivalent atoms:
Sm 0.0000 0.1265 0.2500
Tm 0.1663 0.3757 0.0854
Hg 0.0545 0.3775 0.5300
Hg 0.1149 0.1276 0.8048
Hg 0.2262 0.1261 0.3616

Properties
Energy relative to the elements: -0.385 eV per atom
Raw total energy: -2.104 eV per atom

10.
A plane-wave DFT calculation with GGA-PBE was carried out for crystalline BeSnP2O at its relaxed geometry.

Unit cell a=5.1488 b=5.1488 c=3.8410 alpha=90.00 beta=90.00 gamma=90.00
Space group P4/mmm (No. 123)
One atom of each set of equivalent atoms:
Be 0.0000 0.0000 0.0000
Sn 0.5000 0.5000 0.5000
P 0.0000 0.5000 0.5000
O 0.5000 0.5000 0.0000

Properties
Raw total energy: -3.839 eV per atom
E_form (uncorrected): 0.86 eV/atom

11.
A plane-wave DFT calculation with GGA-PBE was carried out for crystalline NiPdW at its relaxed geometry.

Unit cell a=2.7110 b=14.0897 c=4.3635 alpha=90.00 beta=90.00 gamma=90.00
Space group Cmcm (No. 63)
One atom of each set of equivalent atoms:
Ni 0.0000 0.0486 0.2500
Pd 0.0000 0.2857 0.7500
W 0.0000 0.3944 0.2500

Properties
Energy relative to the elements: -0.058 eV per atom
Raw total energy: -8.034 eV per atom

12.
A plane-wave DFT calculation with GGA-PBE was carried out for crystalline YSI2N at its relaxed geometry.

Unit cell a=6.1085 b=6.1085 c=4.5253 alpha=90.00 beta=90.00 gamma=90.00
Space group P4/mmm (No. 123)
One atom of each set of equivalent atoms:
Y 0.0000 0.0000 0.0000
S 0.5000 0.5000 0.5000
I 0.0000 0.5000 0.0000
N 0.0000 0.0000 0.5000

Properties
Raw total energy: -4.107 eV per atom
E_form (uncorrected): 0.30 eV/atom

13.
A plane-wave DFT calculation with GGA-PBE was carried out for crystalline As2PtRh at its relaxed geometry.

Unit cell a=3.0130 b=4.3274 c=5.0256 alpha=90.00 beta=90.00 gamma=90.00
Space group Pmmm (No. 47)
One atom of each set of equivalent atoms:
As 0.0000 0.0000 0.0000
As 0.5000 0.0000 0.5000
Pt 0.0000 0.5000 0.5000
Rh 0.5000 0.5000 0.0000

Properties
Energy relative to the elements: 0.119 eV per atom
Raw total energy: -5.553 eV per atom